This record from OQMD via LeMat-Bulk describes NdErTl2Zn2 after structural relaxation. The functional is PBE.

M_tot ... 0.00 μB per atom
Raw total energy ... -3.11 eV/atom

Lattice parameters (Å, degrees): 4.7150 4.7150 7.4827 90.00 90.00 120.00
With the nearest neighbours (Å) after each atom.
Positions (direct):
1 Er 0.0000 0.0000 0.8478  3 Zn 3.07, 6 Tl 3.15-3.38
2 Nd 0.0000 0.0000 0.3469  3 Zn 3.13, 6 Tl 3.22-3.47
3 Tl 0.6667 0.3333 0.1167  3 Zn 2.78
4 Tl 0.3333 0.6667 0.6352  4 Zn 2.79-3.02
5 Zn 0.3333 0.6667 0.0382  4 Tl 2.78-3.02, 3 Er 3.07
6 Zn 0.6667 0.3333 0.5521  3 Tl 2.79, 3 Nd 3.13